Record 1
Entry from OQMD: an optimized crystal structure of NaSrSmSe3 (PBE).

Properties
Energy above the lowest structure with this stoichiometry, kJ/mol of atoms: 0.0

Lattice parameters (Å, degrees): 9.2797 9.2797 9.1109 104.64 104.64 26.22
Element x y z (fractional)
Na (0.0041, 0.0041, 0.2034)
Na (0.9959, 0.9959, 0.7966)
Sr (0.3656, 0.3656, 0.4336)
Sr (0.6344, 0.6344, 0.5664)
Sm (0.3332, 0.3332, 0.9097)
Sm (0.6668, 0.6668, 0.0903)
Se (0.0000, 0.0000, 0.5000)
Se (0.1673, 0.1673, 0.8587)
Se (0.1792, 0.1792, 0.3200)
Se (0.5000, 0.5000, 0.0000)
Se (0.8208, 0.8208, 0.6800)
Se (0.8327, 0.8327, 0.1413)



Record 2
Entry from OQMD: an optimized crystal structure of La2PrIn3Pd2Au (PBE).

Lattice parameters (Å, degrees): 4.1233 7.8880 7.8880 120.17 90.00 90.00
Element x y z (fractional)
La (0.0000, 0.2069, 0.7931)
La (0.0000, 0.7931, 0.2069)
Pr (0.0000, 0.6174, 0.6174)
In (0.5000, 0.2088, 0.4638)
In (0.5000, 0.4638, 0.2088)
In (0.5000, 0.9454, 0.9454)
Pd (0.5000, 0.5390, 0.8749)
Pd (0.5000, 0.8749, 0.5390)
Au (0.0000, 0.2047, 0.2047)



Record 3
Entry from OQMD: an optimized crystal structure of Rb2NdScS4 (PBE).

Lattice parameters (Å, degrees): 4.0463 4.0463 15.3003 90.00 90.00 120.00
Element x y z (fractional)
Rb (0.3333, 0.6667, 0.2414)
Rb (0.6667, 0.3333, 0.7586)
Nd (0.0000, 0.0000, 0.5000)
Sc (0.0000, 0.0000, 0.0000)
S (0.3333, 0.6667, 0.6043)
S (0.3333, 0.6667, 0.9134)
S (0.6667, 0.3333, 0.0866)
S (0.6667, 0.3333, 0.3957)



Record 4
Entry from OQMD: an optimized crystal structure of TlCu7 (PBE).

Properties
Energy above the lowest structure with this stoichiometry, kJ/mol of atoms: 0.0

Lattice parameters (Å, degrees): 2.6870 3.4563 34.0981 90.00 90.00 90.00
Element x y z (fractional)
Tl (0.2500, 0.2500, 0.1999)
Tl (0.7500, 0.7500, 0.8001)
Cu (0.2500, 0.2500, 0.2957)
Cu (0.2500, 0.2500, 0.3706)
Cu (0.2500, 0.2500, 0.4446)
Cu (0.2500, 0.2500, 0.5183)
Cu (0.2500, 0.2500, 0.5921)
Cu (0.2500, 0.2500, 0.6662)
Cu (0.2500, 0.2500, 0.7403)
Cu (0.7500, 0.7500, 0.2597)
Cu (0.7500, 0.7500, 0.3338)
Cu (0.7500, 0.7500, 0.4079)
Cu (0.7500, 0.7500, 0.4817)
Cu (0.7500, 0.7500, 0.5554)
Cu (0.7500, 0.7500, 0.6294)
Cu (0.7500, 0.7500, 0.7043)



Record 5
Entry from OQMD: an optimized crystal structure of TaSbNO (PBE).

Properties
Energy above the lowest structure with this stoichiometry, kJ/mol of atoms: 26.0

Lattice parameters (Å, degrees): 6.2804 7.5483 5.0388 90.00 90.00 90.00
Element x y z (fractional)
Ta (0.1266, 0.1558, 0.0000)
Ta (0.3734, 0.1558, 0.5000)
Ta (0.6266, 0.8442, 0.0000)
Ta (0.8734, 0.8442, 0.5000)
Sb (0.0380, 0.6619, 0.9884)
Sb (0.4620, 0.6619, 0.4884)
Sb (0.5380, 0.3381, 0.9884)
Sb (0.9620, 0.3381, 0.4884)
N (0.0022, 0.3904, 0.0387)
N (0.4978, 0.3904, 0.5387)
N (0.5022, 0.6096, 0.0387)
N (0.9978, 0.6096, 0.5387)
O (0.1239, 0.9862, 0.6622)
O (0.3761, 0.9862, 0.1622)
O (0.6239, 0.0138, 0.6622)
O (0.8761, 0.0138, 0.1622)



Record 6
Entry from OQMD: an optimized crystal structure of TbTlO3 (PBE).

Lattice parameters (Å, degrees): 5.7848 5.7848 5.7848 62.28 62.28 62.28
Element x y z (fractional)
Tb (0.2500, 0.2500, 0.2500)
Tb (0.7500, 0.7500, 0.7500)
Tl (0.0000, 0.0000, 0.0000)
Tl (0.5000, 0.5000, 0.5000)
O (0.1139, 0.7500, 0.3861)
O (0.2500, 0.6139, 0.8861)
O (0.3861, 0.1139, 0.7500)
O (0.6139, 0.8861, 0.2500)
O (0.7500, 0.3861, 0.1139)
O (0.8861, 0.2500, 0.6139)



Record 7
Entry from OQMD: an optimized crystal structure of NpScTc (PBE).

Properties
Formation enthalpy at 0 K, eV/atom: 0.87

Lattice parameters (Å, degrees): 4.4044 4.4044 4.4044 60.00 60.00 60.00
Element x y z (fractional)
Np (0.0000, 0.0000, 0.0000)
Sc (0.2500, 0.2500, 0.2500)
Tc (0.5000, 0.5000, 0.5000)



Record 8
Entry from OQMD: an optimized crystal structure of PrDy2Zn2Si4Au2 (PBE).

Properties
Energy above the lowest structure with this stoichiometry, kJ/mol of atoms: 0.0

Lattice parameters (Å, degrees): 12.9423 12.9423 12.9423 161.78 161.26 26.25
Element x y z (fractional)
Pr (0.0000, 0.0000, 0.0000)
Dy (0.3535, 0.8535, 0.5000)
Dy (0.6465, 0.1465, 0.5000)
Zn (0.2509, 0.2509, 0.0000)
Zn (0.7491, 0.7491, 0.0000)
Si (0.1925, 0.6925, 0.5000)
Si (0.4525, 0.4525, 0.0000)
Si (0.5475, 0.5475, 0.0000)
Si (0.8075, 0.3075, 0.5000)
Au (0.0972, 0.5972, 0.5000)
Au (0.9028, 0.4028, 0.5000)



Record 9
Entry from OQMD: an optimized crystal structure of ZrGaMo2 (PBE).

Lattice parameters (Å, degrees): 4.5844 4.5844 4.5844 60.00 60.00 60.00
Element x y z (fractional)
Zr (0.0000, 0.0000, 0.0000)
Ga (0.7500, 0.7500, 0.7500)
Mo (0.2500, 0.2500, 0.2500)
Mo (0.5000, 0.5000, 0.5000)



Record 10
Entry from OQMD: an optimized crystal structure of KYNiS4 (PBE).

Lattice parameters (Å, degrees): 6.5697 5.6543 8.9200 90.00 107.14 90.00
Element x y z (fractional)
K (0.2418, 0.0000, 0.4463)
K (0.7582, 0.5000, 0.5537)
Y (0.2418, 0.0059, 0.9441)
Y (0.7582, 0.5059, 0.0559)
Ni (0.2752, 0.5033, 0.1835)
Ni (0.7248, 0.0033, 0.8165)
S (0.0704, 0.4999, 0.3332)
S (0.1059, 0.5062, 0.9347)
S (0.4798, 0.7366, 0.7862)
S (0.4822, 0.2739, 0.7862)
S (0.5178, 0.7739, 0.2138)
S (0.5202, 0.2366, 0.2138)
S (0.8941, 0.0062, 0.0653)
S (0.9296, 0.9999, 0.6668)



Record 11
Entry from OQMD: an optimized crystal structure of LaPrAsO (PBE).

Properties
Energy above the lowest structure with this stoichiometry, kJ/mol of atoms: 8.8

Lattice parameters (Å, degrees): 4.3941 4.3941 9.6691 90.00 90.00 90.00
Element x y z (fractional)
La (0.2500, 0.7500, 0.0000)
La (0.7500, 0.2500, 0.0000)
Pr (0.2500, 0.2500, 0.3942)
Pr (0.7500, 0.7500, 0.6058)
As (0.2500, 0.2500, 0.7844)
As (0.7500, 0.7500, 0.2156)
O (0.2500, 0.7500, 0.5000)
O (0.7500, 0.2500, 0.5000)



Record 12
Entry from OQMD: an optimized crystal structure of Y3Mg3Al2Cu (PBE).

Lattice parameters (Å, degrees): 7.3967 7.3967 4.3422 90.00 90.00 120.00
Element x y z (fractional)
Y (0.0000, 0.5891, 0.0000)
Y (0.4109, 0.4109, 0.0000)
Y (0.5891, 0.0000, 0.0000)
Mg (0.0000, 0.2393, 0.5000)
Mg (0.2393, 0.0000, 0.5000)
Mg (0.7607, 0.7607, 0.5000)
Al (0.3333, 0.6667, 0.5000)
Al (0.6667, 0.3333, 0.5000)
Cu (0.0000, 0.0000, 0.0000)



Number 1: final energy -57.42 eV/cell. Number 2: final energy -43.46 eV/cell. Number 3: final energy -43.43 eV/cell. Number 4: final energy -54.99 eV/cell. Number 5: final energy -127.64 eV/cell. Number 6: final energy -62.47 eV/cell. Number 7: final energy -26.85 eV/cell. Number 8: final energy -51.72 eV/cell. Number 9: final energy -33.48 eV/cell. Number 10: final energy -73.05 eV/cell. Number 11: final energy -53.32 eV/cell. Number 12: final energy -38.10 eV/cell.